Record 1
Below is a relaxed Na3VCu crystal, with properties calculated at the PBE-GGA level.

The total energy comes out at -12.47 eV per formula unit. The calculation puts the energy above the lowest structure with this stoichiometry at 0.0000 eV per atom.

It has space group Pm-3m (No. 221), with a = 5.329 Å, b = 5.329 Å, c = 5.329 Å, α = 90.00°, β = 90.00° and γ = 90.00°. The distinct sites, in fractional coordinates, are Na at (0.000, 0.000, 0.500), V at (0.500, 0.500, 0.500) and Cu at (0.000, 0.000, 0.000).

---

Record 2
Below is a relaxed TbHo2Mg crystal, with properties calculated at the PBE-GGA level.

The total energy comes out at -15.48 eV per formula unit. The calculation puts the energy above the lowest structure with this stoichiometry at 0.0030 eV per atom.

It has space group P4/mmm (No. 123), with a = 3.567 Å, b = 3.567 Å, c = 9.242 Å, α = 90.00°, β = 90.00° and γ = 90.00°. The distinct sites, in fractional coordinates, are Tb at (0.000, 0.000, 0.000), Ho at (0.500, 0.500, 0.265) and Mg at (0.000, 0.000, 0.500).

---

Record 3
Below is a relaxed Mg2CdIn2Rh2 crystal, with properties calculated at the PBE-GGA level.

The total energy comes out at -25.77 eV per formula unit.

It has space group C2/m (No. 12), with a = 9.016 Å, b = 4.279 Å, c = 8.203 Å, α = 90.00°, β = 113.11° and γ = 90.00°. The distinct sites, in fractional coordinates, are Mg at (0.145, 0.000, 0.325), Cd at (0.000, 0.500, 0.500), In at (0.218, 0.000, 0.841) and Rh at (0.023, 0.500, 0.839).

---

Repeat the first record exactly.
Below is a relaxed Na3VCu crystal, with properties calculated at the PBE-GGA level.

The total energy comes out at -12.47 eV per formula unit. The calculation puts the energy above the lowest structure with this stoichiometry at 0.0000 eV per atom.

It has space group Pm-3m (No. 221), with a = 5.329 Å, b = 5.329 Å, c = 5.329 Å, α = 90.00°, β = 90.00° and γ = 90.00°. The distinct sites, in fractional coordinates, are Na at (0.000, 0.000, 0.500), V at (0.500, 0.500, 0.500) and Cu at (0.000, 0.000, 0.000).

---

> Which formula does entry 2 have?

TbHo2Mg

---

Copy entry 1 word for word.
Below is a relaxed Na3VCu crystal, with properties calculated at the PBE-GGA level.

The total energy comes out at -12.47 eV per formula unit. The calculation puts the energy above the lowest structure with this stoichiometry at 0.0000 eV per atom.

It has space group Pm-3m (No. 221), with a = 5.329 Å, b = 5.329 Å, c = 5.329 Å, α = 90.00°, β = 90.00° and γ = 90.00°. The distinct sites, in fractional coordinates, are Na at (0.000, 0.000, 0.500), V at (0.500, 0.500, 0.500) and Cu at (0.000, 0.000, 0.000).